No. 1
A plane-wave DFT calculation with PBE was carried out for TeAs2RuPt after structural relaxation.

a b c (Å): 4.745 4.745 5.367
angles (deg): 90.00 90.00 90.00
Element x y z (fractional)
Te  0.000  0.000  0.000
As  0.000  0.500  0.500
As  0.500  0.000  0.500
Ru  0.500  0.500  0.000
Pt  0.000  0.000  0.500

## Properties
Energy relative to the elements, uncorrected in meV per atom: 1082


No. 2
A plane-wave DFT calculation with PBE was carried out for ZnAs2RuPt after structural relaxation.

a b c (Å): 4.822 4.822 4.691
angles (deg): 90.00 90.00 90.00
Element x y z (fractional)
Zn  0.000  0.000  0.000
As  0.000  0.500  0.500
As  0.500  0.000  0.500
Ru  0.500  0.500  0.000
Pt  0.000  0.000  0.500

## Properties
DFT formation energy in eV/f.u.: 4.7


Short version: electronic total energy = -4.4695, -4.2366 eV per atom, in the order given.